Record 1
Computed, not measured: a relaxed structure of Bi7S9Cl3 at the PBE level of DFT.

abc: 11.2563 4.0675 11.8994
angles: 90.00 91.73 90.00
Positions (direct):
Bi 0.0000 0.0000 0.0000
Bi 0.0206 0.0000 0.3632
Bi 0.1247 0.5000 0.6733
Bi 0.3092 0.5000 0.0720
Bi 0.3836 0.0000 0.4676
Bi 0.5289 0.5000 0.7551
Bi 0.6650 0.5000 0.2799
S 0.0692 0.5000 0.1659
S 0.1975 0.5000 0.4413
S 0.2262 0.0000 0.9425
S 0.3557 0.0000 0.6875
S 0.5121 0.5000 0.9668
S 0.5530 0.5000 0.4799
S 0.8532 0.5000 0.4097
S 0.9679 0.5000 0.8479
S 0.9906 0.0000 0.5963
Cl 0.4551 0.0000 0.2233
Cl 0.6957 0.0000 0.7593
Cl 0.7659 0.0000 0.1550

Output
Uncorrected formation energy, eV/f.u.: -7.7
M_tot, μB per cell: 0.00


Record 2
Computed, not measured: a relaxed structure of Bi2S2Cl at the PBE level of DFT.

abc: 4.2689 4.2689 10.5298
angles: 102.99 102.99 58.19
Positions (direct):
Bi 0.1018 0.1018 0.2980
Bi 0.8982 0.8982 0.7020
S 0.2746 0.2746 0.8219
S 0.7254 0.7254 0.1781
Cl 0.5000 0.5000 0.5000

Output
Uncorrected formation energy, eV/f.u.: -1.7
Polymorph energy (0 for the lowest one), meV/atom: 29
M_tot, μB per cell: 0.00
Fermi-level density of states, states/eV/f.u.: 1.99


Record 3
Computed, not measured: a relaxed structure of BiS3Cl at the PBE level of DFT.

abc: 4.7320 4.7320 4.7320
angles: 90.00 90.00 90.00
Positions (direct):
Bi 0.0000 0.0000 0.0000
S 0.0000 0.5000 0.5000
S 0.5000 0.0000 0.5000
S 0.5000 0.5000 0.0000
Cl 0.5000 0.5000 0.5000

Output
Uncorrected formation energy, eV/f.u.: 3.6
Polymorph energy (0 for the lowest one), meV/atom: 986
M_tot, μB per cell: 0.00
Fermi-level density of states, states/eV/f.u.: 2.19


Record 4
Computed, not measured: a relaxed structure of BiSCl at the PBE level of DFT.

abc: 7.9634 7.9634 7.2046
angles: 116.16 116.16 29.66
Positions (direct):
Bi 0.2459 0.2459 0.2688
Bi 0.7541 0.7541 0.7312
S 0.3615 0.3615 0.6833
S 0.6385 0.6385 0.3167
Cl 0.1335 0.1335 0.7961
Cl 0.8665 0.8665 0.2039

Output
Uncorrected formation energy, eV/f.u.: -1.9
M_tot, μB per cell: 0.00
Fermi-level density of states, states/eV/f.u.: 0.00


Record 5
Computed, not measured: a relaxed structure of BiS4Cl at the PBE level of DFT.

abc: 3.9643 7.3937 13.7832
angles: 86.76 88.68 79.33
Positions (direct):
Bi 0.0045 0.2201 0.3760
Bi 0.9955 0.7799 0.6240
S 0.1117 0.3077 0.9377
S 0.1222 0.9000 0.0530
S 0.3609 0.0626 0.5584
S 0.4742 0.4819 0.4264
S 0.5258 0.5181 0.5736
S 0.6391 0.9374 0.4416
S 0.8778 0.1000 0.9470
S 0.8883 0.6923 0.0623
Cl 0.4263 0.7291 0.7720
Cl 0.5737 0.2709 0.2280

Output
Uncorrected formation energy, eV/f.u.: -0.9
M_tot, μB per cell: 0.00
Fermi-level density of states, states/eV/f.u.: 0.47


Record 6
Computed, not measured: a relaxed structure of BiS8Cl2 at the PBE level of DFT.

abc: 7.9133 7.9133 8.4116
angles: 122.01 122.01 48.08
Positions (direct):
Bi 0.0000 0.0000 0.0000
S 0.1886 0.6478 0.1723
S 0.2889 0.2889 0.9922
S 0.3522 0.8114 0.8277
S 0.4488 0.4488 0.6787
S 0.5512 0.5512 0.3213
S 0.6478 0.1886 0.1723
S 0.7111 0.7111 0.0078
S 0.8114 0.3522 0.8277
Cl 0.1364 0.1364 0.3920
Cl 0.8636 0.8636 0.6080

Output
Uncorrected formation energy, eV/f.u.: 1.4
M_tot, μB per cell: 0.00
Fermi-level density of states, states/eV/f.u.: 8.16


Record 7
Computed, not measured: a relaxed structure of BiSCl at the PBE level of DFT.

abc: 11.7491 4.1017 7.6776
angles: 90.00 90.00 90.00
Positions (direct):
Bi 0.1369 0.2500 0.0694
Bi 0.3631 0.7500 0.5694
Bi 0.6369 0.2500 0.4306
Bi 0.8631 0.7500 0.9306
S 0.0838 0.7500 0.8478
S 0.4162 0.2500 0.3478
S 0.5838 0.7500 0.6522
S 0.9162 0.2500 0.1522
Cl 0.1513 0.7500 0.3418
Cl 0.3487 0.2500 0.8418
Cl 0.6513 0.7500 0.1582
Cl 0.8487 0.2500 0.6582

Output
Uncorrected formation energy, eV/f.u.: -2.0
M_tot, μB per cell: 0.00
Fermi-level density of states, states/eV/f.u.: 0.00


Record 8
Computed, not measured: a relaxed structure of Bi2S2Cl at the PBE level of DFT.

abc: 6.8148 7.1617 7.3399
angles: 112.26 108.37 99.14
Positions (direct):
Bi 0.0217 0.3721 0.2070
Bi 0.4714 0.1799 0.3406
Bi 0.5286 0.8201 0.6594
Bi 0.9783 0.6279 0.7930
S 0.2550 0.7534 0.2690
S 0.2603 0.4581 0.6106
S 0.7397 0.5419 0.3894
S 0.7450 0.2466 0.7310
Cl 0.2437 0.0297 0.8660
Cl 0.7563 0.9703 0.1340

Output
Uncorrected formation energy, eV/f.u.: -1.9
Polymorph energy (0 for the lowest one), meV/atom: 0
M_tot, μB per cell: 0.00
Fermi-level density of states, states/eV/f.u.: 0.50


Record 9
Computed, not measured: a relaxed structure of BiSbS2Cl at the PBE level of DFT.

abc: 5.1802 5.1802 5.0520
angles: 90.00 90.00 90.00
Positions (direct):
Bi 0.0000 0.0000 0.0000
Sb 0.5000 0.5000 0.5000
S 0.0000 0.5000 0.5000
S 0.5000 0.0000 0.5000
Cl 0.5000 0.5000 0.0000

Output
Uncorrected formation energy, eV/f.u.: 0.7
Polymorph energy (0 for the lowest one), meV/atom: 0
M_tot, μB per cell: 0.37
Fermi-level density of states, states/eV/f.u.: 3.48


Record 10
Computed, not measured: a relaxed structure of BiSbS2Cl at the PBE level of DFT.

abc: 5.3666 5.3666 5.1950
angles: 90.00 90.00 90.00
Positions (direct):
Bi 0.0000 0.0000 0.0000
Sb 0.5000 0.5000 0.5000
S 0.0000 0.5000 0.0000
S 0.5000 0.0000 0.0000
Cl 0.0000 0.0000 0.5000

Output
Uncorrected formation energy, eV/f.u.: 1.5
Polymorph energy (0 for the lowest one), meV/atom: 155
M_tot, μB per cell: 1.09
Fermi-level density of states, states/eV/f.u.: 2.25


Record 11
Computed, not measured: a relaxed structure of ScBiSCl2 at the PBE level of DFT.

abc: 4.9456 4.9456 5.1133
angles: 90.00 90.00 90.00
Positions (direct):
Sc 0.0000 0.0000 0.0000
Bi 0.5000 0.5000 0.5000
S 0.0000 0.0000 0.5000
Cl 0.0000 0.5000 0.0000
Cl 0.5000 0.0000 0.0000

Output
Uncorrected formation energy, eV/f.u.: -4.7
Polymorph energy (0 for the lowest one), meV/atom: 0
M_tot, μB per cell: 0.35
Fermi-level density of states, states/eV/f.u.: 3.85


Record 12
Computed, not measured: a relaxed structure of ScBiSCl2 at the PBE level of DFT.

abc: 5.4181 5.4181 5.4126
angles: 90.00 90.00 90.00
Positions (direct):
Sc 0.0000 0.0000 0.0000
Bi 0.5000 0.5000 0.5000
S 0.5000 0.5000 0.0000
Cl 0.0000 0.5000 0.5000
Cl 0.5000 0.0000 0.5000

Output
Uncorrected formation energy, eV/f.u.: -0.6
Polymorph energy (0 for the lowest one), meV/atom: 823
M_tot, μB per cell: 1.63
Fermi-level density of states, states/eV/f.u.: 9.75


Record 13
Computed, not measured: a relaxed structure of BiSeSCl2 at the PBE level of DFT.

abc: 5.4275 5.4275 5.4038
angles: 90.00 90.00 90.00
Positions (direct):
Bi 0.0000 0.0000 0.0000
Se 0.5000 0.5000 0.5000
S 0.0000 0.0000 0.5000
Cl 0.0000 0.5000 0.0000
Cl 0.5000 0.0000 0.0000

Output
Uncorrected formation energy, eV/f.u.: 0.6
Polymorph energy (0 for the lowest one), meV/atom: 0
M_tot, μB per cell: 2.93
Fermi-level density of states, states/eV/f.u.: 1.70


Record 14
Computed, not measured: a relaxed structure of BiSeSCl2 at the PBE level of DFT.

abc: 5.0392 5.0392 4.9780
angles: 90.00 90.00 90.00
Positions (direct):
Bi 0.0000 0.0000 0.0000
Se 0.5000 0.5000 0.5000
S 0.5000 0.5000 0.0000
Cl 0.0000 0.5000 0.5000
Cl 0.5000 0.0000 0.5000

Output
Uncorrected formation energy, eV/f.u.: 1.3
Polymorph energy (0 for the lowest one), meV/atom: 134
M_tot, μB per cell: 0.00
Fermi-level density of states, states/eV/f.u.: 4.78


Record 15
Computed, not measured: a relaxed structure of BiSeS2Cl at the PBE level of DFT.

abc: 5.3005 5.3005 5.4099
angles: 90.00 90.00 90.00
Positions (direct):
Bi 0.0000 0.0000 0.0000
Se 0.5000 0.5000 0.5000
S 0.0000 0.5000 0.0000
S 0.5000 0.0000 0.0000
Cl 0.0000 0.0000 0.5000

Output
Uncorrected formation energy, eV/f.u.: 2.6
Polymorph energy (0 for the lowest one), meV/atom: 226
M_tot, μB per cell: 3.28
Fermi-level density of states, states/eV/f.u.: 4.42


Record 16
Computed, not measured: a relaxed structure of BiSeS2Cl at the PBE level of DFT.

abc: 4.9348 4.9348 4.8405
angles: 90.00 90.00 90.00
Positions (direct):
Bi 0.0000 0.0000 0.0000
Se 0.5000 0.5000 0.5000
S 0.0000 0.5000 0.5000
S 0.5000 0.0000 0.5000
Cl 0.5000 0.5000 0.0000

Output
Uncorrected formation energy, eV/f.u.: 1.5
Polymorph energy (0 for the lowest one), meV/atom: 0
M_tot, μB per cell: 0.00
Fermi-level density of states, states/eV/f.u.: 3.40


Record 17
Computed, not measured: a relaxed structure of BiSe2SCl at the PBE level of DFT.

abc: 4.6751 4.6751 6.3648
angles: 90.00 90.00 90.00
Positions (direct):
Bi 0.0000 0.0000 0.0000
Se 0.0000 0.5000 0.5000
Se 0.5000 0.0000 0.5000
S 0.5000 0.5000 0.0000
Cl 0.0000 0.0000 0.5000

Output
Uncorrected formation energy, eV/f.u.: 4.6
M_tot, μB per cell: 0.00
Fermi-level density of states, states/eV/f.u.: 3.67


Record 18
Computed, not measured: a relaxed structure of SiBiSCl2 at the PBE level of DFT.

abc: 5.3450 5.3450 5.4848
angles: 90.00 90.00 90.00
Positions (direct):
Si 0.0000 0.0000 0.0000
Bi 0.5000 0.5000 0.5000
S 0.5000 0.5000 0.0000
Cl 0.0000 0.5000 0.5000
Cl 0.5000 0.0000 0.5000

Output
Uncorrected formation energy, eV/f.u.: 1.4
Polymorph energy (0 for the lowest one), meV/atom: 346
M_tot, μB per cell: 1.00
Fermi-level density of states, states/eV/f.u.: 2.55


Record 19
Computed, not measured: a relaxed structure of SiBiSCl2 at the PBE level of DFT.

abc: 4.7857 4.7857 4.9408
angles: 90.00 90.00 90.00
Positions (direct):
Si 0.0000 0.0000 0.0000
Bi 0.5000 0.5000 0.5000
S 0.0000 0.0000 0.5000
Cl 0.0000 0.5000 0.0000
Cl 0.5000 0.0000 0.0000

Output
Uncorrected formation energy, eV/f.u.: -0.3
Polymorph energy (0 for the lowest one), meV/atom: 0
M_tot, μB per cell: 0.00
Fermi-level density of states, states/eV/f.u.: 3.35


Record 20
Computed, not measured: a relaxed structure of SnBiSCl2 at the PBE level of DFT.

abc: 5.2377 5.2377 5.3629
angles: 90.00 90.00 90.00
Positions (direct):
Sn 0.0000 0.0000 0.0000
Bi 0.5000 0.5000 0.5000
S 0.0000 0.0000 0.5000
Cl 0.0000 0.5000 0.0000
Cl 0.5000 0.0000 0.0000

Output
Uncorrected formation energy, eV/f.u.: -0.6
Polymorph energy (0 for the lowest one), meV/atom: 39
M_tot, μB per cell: 1.58
Fermi-level density of states, states/eV/f.u.: 3.28